A geometry-optimized Ca2NiSe structure, computed with PBE.

Unit cell a=5.7864 b=5.7864 c=4.2534 alpha=90.10 beta=90.10 gamma=39.64
With the nearest neighbours (Å) after each atom.
Sites, in units of the cell vectors:
Ca (0.0000, 0.0000, 0.0000)  4 Se 2.98-2.99, 3 Ni 3.06-3.09
Ca (0.7194, 0.7194, 0.5018)  4 Ni 2.96-2.98, 3 Se 3.04-3.12
Ni (0.2806, 0.2806, 0.0040)  2 Se 2.68-2.71, 4 Ca 2.96-2.98
Se (0.4328, 0.4328, 0.4994)  2 Ni 2.68-2.71, 4 Ca 2.98-2.99

Results
For the density of states at the Fermi level, the calculation gives 0.009 states/eV/atom. Its total energy is -16.649 eV/cell. As for the uncorrected formation energy: -3.380 eV/f.u.